# 1
# Ac8Te4Pt3Br

Crystalline Ac8Te4Pt3Br at its relaxed geometry (PBE, the Alexandria database).

uncorrected energy = -0.399 Ry/atom
space-group type = No. 12
spin magnetization = 0.0 μB per formula unit
energy relative to the elements, uncorrected = -1.358 eV/atom

Cell lengths 9.032, 9.542, 9.033 Å; angles 118.26, 120.00, 90.00 degrees
Fractional positions:
Ac1 0.750 0.277 0.500
Ac2 0.264 0.292 0.528
Ac3 0.250 0.723 0.500
Ac4 0.251 0.724 0.974
Pt1 0.000 0.500 0.500
Ac5 0.277 0.276 0.026
Ac6 0.749 0.276 0.026
Ac7 0.723 0.724 0.974
Te1 0.000 0.000 0.500
Ac8 0.736 0.708 0.472
Te2 0.500 0.000 0.500
Te3 0.500 0.000 0.000
Br1 0.000 0.500 0.000
Pt2 0.500 0.500 0.000
Te4 0.000 0.000 0.000
Pt3 0.500 0.500 0.500

# 2
# Ce3CoTe

Crystalline Ce3CoTe at its relaxed geometry (PBE, the Alexandria database).

uncorrected energy = -0.442 Ry/atom
space-group type = No. 148
spin magnetization = 3.0 μB per formula unit
energy relative to the elements, uncorrected = -0.409 eV/atom

Cell lengths 6.812, 6.812, 8.544 Å; angles 66.51, 66.51, 60.00 degrees
Last column: magnetic moment on the atom in μB.
Fractional positions:
Ce1 0.560 0.915 0.299  0.80
Co1 0.837 0.837 0.489  -0.20
Ce2 0.085 0.774 0.701  0.80
Te1 0.663 0.663 0.011  -0.02
Ce3 0.440 0.085 0.701  0.80
Te2 0.337 0.337 0.989  -0.02
Ce4 0.915 0.226 0.299  0.80
Co2 0.163 0.163 0.511  -0.20
Ce5 0.774 0.440 0.701  0.80
Ce6 0.226 0.560 0.299  0.80

# 3
# KBC

Crystalline KBC at its relaxed geometry (PBE, the Alexandria database).

uncorrected energy = -0.395 Ry/atom
space-group type = No. 12
formation energy = 293 meV/atom
spin magnetization = 0.0 μB per formula unit

Cell lengths 9.956, 5.414, 5.414 Å; angles 143.19, 144.01, 35.99 degrees
Fractional positions:
K1 0.888 0.224 0.776
K2 0.112 0.776 0.224
B1 0.493 0.217 0.783
B2 0.507 0.783 0.217
C1 0.488 0.072 0.928
C2 0.512 0.928 0.072

# 4
# BaCuTc2Pb

Crystalline BaCuTc2Pb at its relaxed geometry (PBE, the Alexandria database).

uncorrected energy = -0.349 Ry/atom
space-group type = No. 123
formation energy = 1341 meV/atom
spin magnetization = 4.1 μB per formula unit

Cell lengths 5.268, 5.010, 5.268 Å; angles 90.00, 90.00, 90.00 degrees
Last column: magnetic moment on the atom in μB.
Fractional positions:
Pb1 0.000 0.000 0.000  -0.07
Cu1 0.000 0.500 0.000  0.03
Tc1 0.000 0.000 0.500  2.00
Tc2 0.500 0.000 0.000  1.79
Ba1 0.500 0.500 0.500  -0.02